Material: TlCuP2Se8
Method: DFT, PBE-GGA
State: relaxed

electronic total energy = -3.750 eV per atom

Cell: 12.315 12.315 12.315 Å, 26.76 26.76 26.76°
Positions (direct):
Tl: 0.000 0.000 0.000
Cu: 0.500 0.500 0.500
P: 0.240 0.240 0.240
P: 0.760 0.760 0.760
Se: 0.148 0.402 0.806
Se: 0.194 0.852 0.598
Se: 0.301 0.301 0.301
Se: 0.402 0.806 0.148
Se: 0.598 0.194 0.852
Se: 0.699 0.699 0.699
Se: 0.806 0.148 0.402
Se: 0.852 0.598 0.194

---

Material: In2SiBr
Method: DFT, PBE-GGA
State: relaxed

ΔE to the lowest computed polymorph = 205.8 meV/atom
electronic total energy = -2.984 eV per atom

Cell: 6.748 6.748 6.748 Å, 151.31 135.60 53.72°
Positions (direct):
In: 0.000 0.000 0.000
In: 0.765 0.265 0.500
Si: 0.200 0.700 0.500
Br: 0.497 0.497 0.000

---

Material: Zn2CuAs
Method: DFT, PBE-GGA
State: relaxed

electronic total energy = -2.712 eV per atom
energy relative to the elements = 0.111 eV/atom

Cell: 2.851 3.819 5.661 Å, 90.00 90.00 90.00°
Positions (direct):
Zn: 0.000 0.000 0.000
Zn: 0.500 0.500 0.243
Cu: 0.500 0.500 0.782
As: 0.000 0.000 0.524

---

Material: SmPaCN
Method: DFT, PBE-GGA
State: relaxed

electronic total energy = -8.935 eV per atom

Cell: 6.200 6.200 6.200 Å, 33.95 33.95 33.95°
Positions (direct):
Sm: 0.000 0.000 0.000
Pa: 0.501 0.501 0.501
C: 0.761 0.761 0.761
N: 0.239 0.239 0.239

---

Material: ZnCuPt2
Method: DFT, PBE-GGA
State: relaxed

electronic total energy = -4.566 eV per atom
energy relative to the elements = -0.203 eV/atom

Cell: 4.365 4.365 4.365 Å, 60.00 60.00 60.00°
Positions (direct):
Zn: 0.000 0.000 0.000
Cu: 0.750 0.750 0.750
Pt: 0.250 0.250 0.250
Pt: 0.500 0.500 0.500

---

Material: YMnSe2
Method: DFT, PBE-GGA
State: relaxed

electronic total energy = -6.720 eV per atom

Cell: 3.944 3.944 5.792 Å, 90.00 90.00 90.00°
Positions (direct):
Y: 0.000 0.000 0.000
Mn: 0.500 0.500 0.393
Se: 0.000 0.000 0.481
Se: 0.500 0.500 0.937

---

Material: CePm2Tm3
Method: DFT, PBE-GGA
State: relaxed

electronic total energy = -4.659 eV per atom
energy relative to the elements = 0.149 eV/atom

Cell: 8.690 8.690 9.495 Å, 118.94 118.94 38.34°
Positions (direct):
Ce: 0.148 0.148 0.157
Ce: 0.852 0.852 0.843
Pm: 0.048 0.048 0.721
Pm: 0.444 0.444 0.809
Pm: 0.556 0.556 0.191
Pm: 0.952 0.952 0.279
Tm: 0.213 0.213 0.562
Tm: 0.305 0.305 0.998
Tm: 0.386 0.386 0.421
Tm: 0.614 0.614 0.579
Tm: 0.695 0.695 0.002
Tm: 0.787 0.787 0.438

---

Material: Li2Cu2Si6O15
Method: DFT, PBE-GGA
State: relaxed

electronic total energy = -7.037 eV per atom

Cell: 11.218 11.218 10.173 Å, 90.00 90.00 97.04°
Positions (direct):
Li: 0.008 0.492 0.750
Li: 0.087 0.913 0.769
Li: 0.413 0.587 0.269
Li: 0.492 0.008 0.250
Li: 0.508 0.992 0.750
Li: 0.587 0.413 0.731
Li: 0.913 0.087 0.231
Li: 0.992 0.508 0.250
Cu: 0.156 0.344 0.250
Cu: 0.249 0.249 0.500
Cu: 0.251 0.251 0.000
Cu: 0.344 0.156 0.750
Cu: 0.656 0.844 0.250
Cu: 0.749 0.749 0.000
Cu: 0.751 0.751 0.500
Cu: 0.844 0.656 0.750
Si: 0.022 0.770 0.020
Si: 0.042 0.169 0.687
Si: 0.086 0.708 0.556
Si: 0.169 0.042 0.313
Si: 0.208 0.586 0.056
Si: 0.230 0.978 0.020
Si: 0.270 0.522 0.520
Si: 0.292 0.914 0.556
Si: 0.331 0.458 0.813
Si: 0.414 0.792 0.056
Si: 0.458 0.331 0.187
Si: 0.478 0.730 0.520
Si: 0.522 0.270 0.480
Si: 0.542 0.669 0.813
Si: 0.586 0.208 0.944
Si: 0.669 0.542 0.187
Si: 0.708 0.086 0.444
Si: 0.730 0.478 0.480
Si: 0.770 0.022 0.980
Si: 0.792 0.414 0.944
Si: 0.831 0.958 0.687
Si: 0.914 0.292 0.444
Si: 0.958 0.831 0.313
Si: 0.978 0.230 0.980
O: 0.006 0.643 0.671
O: 0.015 0.240 0.824
O: 0.015 0.755 0.429
O: 0.029 0.971 0.301
O: 0.092 0.243 0.077
O: 0.098 0.902 0.983
O: 0.114 0.670 0.992
O: 0.143 0.506 0.171
O: 0.159 0.181 0.344
O: 0.170 0.614 0.492
O: 0.171 0.829 0.617
O: 0.181 0.159 0.656
O: 0.240 0.015 0.176
O: 0.243 0.092 0.923
O: 0.245 0.985 0.429
O: 0.255 0.515 0.929
O: 0.257 0.408 0.423
O: 0.260 0.485 0.676
O: 0.319 0.341 0.156
O: 0.329 0.671 0.117
O: 0.330 0.886 0.992
O: 0.341 0.319 0.844
O: 0.357 0.994 0.671
O: 0.386 0.830 0.492
O: 0.402 0.598 0.483
O: 0.408 0.257 0.577
O: 0.471 0.529 0.801
O: 0.485 0.260 0.324
O: 0.485 0.745 0.929
O: 0.494 0.857 0.171
O: 0.506 0.143 0.829
O: 0.515 0.255 0.071
O: 0.515 0.740 0.676
O: 0.529 0.471 0.199
O: 0.592 0.743 0.423
O: 0.598 0.402 0.517
O: 0.614 0.170 0.508
O: 0.643 0.006 0.329
O: 0.659 0.681 0.156
O: 0.670 0.114 0.008
O: 0.671 0.329 0.883
O: 0.681 0.659 0.844
O: 0.740 0.515 0.324
O: 0.743 0.592 0.577
O: 0.745 0.485 0.071
O: 0.755 0.015 0.571
O: 0.757 0.908 0.077
O: 0.760 0.985 0.824
O: 0.819 0.841 0.344
O: 0.829 0.171 0.383
O: 0.830 0.386 0.508
O: 0.841 0.819 0.656
O: 0.857 0.494 0.829
O: 0.886 0.330 0.008
O: 0.902 0.098 0.017
O: 0.908 0.757 0.923
O: 0.971 0.029 0.699
O: 0.985 0.245 0.571
O: 0.985 0.760 0.176
O: 0.994 0.357 0.329

---

Question: Look up the electronic total energy of the sixth one.
Answer: -6.720 eV per atom